This record from Alexandria via LeMat-Bulk describes a relaxed MnSbOsO crystal. The functional is PBE+U.

* energy above the most stable polymorph in this dataset: 102 kJ/mol of formula units
* symmetry: No. 38
* N(E_F): 0.8538 states/eV per atom

Cell and atoms, written as extended XYZ:
```
8
Lattice="-1.867 -2.165 -0.207 2.379 -1.981 -0.747 1.874 -2.928 13.732" Properties=species:S:1:pos:R:3 pbc="T T T"
Os -0.504 -1.754 3.047
Os 1.623 -4.209 9.539
Mn 1.389 -1.301 1.084
Mn 1.136 -1.775 8.324
O 0.259 -2.077 -0.459
O 0.006 -2.551 6.780
Sb 0.978 -3.200 4.810
Sb 0.725 -3.674 12.049
```